{
  "formula": "YErZr2",
  "functional": "PBE",
  "state": "optimized geometry",
  "cell": [[1.667, 0.963, 10.992], [-1.667, 0.963, 10.992], [0.000, -1.925, 10.992]],
  "species": ["Y", "Er", "Zr", "Zr"],
  "fractional_positions": [[0.000, 0.000, 0.000], [0.500, 0.500, 0.500], [0.249, 0.249, 0.249], [0.751, 0.751, 0.751]],
  "de_polymorph_mev_per_atom": 14,
  "dft_energy_ha_per_atom": -0.254,
  "vol_a3_per_atom": 26.5,
  "magnetic_moment_mub_per_atom": 0.001,
  "formation_energy_ev_per_atom": 0.1234,
  "dos_ef_per_ev_cell": 5.82
}

***

{
  "formula": "YErZr",
  "functional": "PBE",
  "state": "optimized geometry",
  "cell": [[5.344, 0.000, 0.000], [-2.672, 4.628, 0.000], [0.000, 0.000, 3.401]],
  "species": ["Y", "Er", "Zr"],
  "fractional_positions": [[0.000, 0.000, 0.000], [0.333, 0.667, 0.500], [0.667, 0.333, 0.500]],
  "de_polymorph_mev_per_atom": 47,
  "dft_energy_ha_per_atom": -0.235,
  "vol_a3_per_atom": 28.0,
  "magnetic_moment_mub_per_atom": 0.182,
  "formation_energy_ev_per_atom": 0.1230,
  "dos_ef_per_ev_cell": 5.79
}

***

{
  "formula": "Y4Er3Zr",
  "functional": "PBE",
  "state": "optimized geometry",
  "cell": [[2.772, -12.974, 0.000], [2.772, 12.974, 0.000], [0.000, 0.000, 3.467]],
  "species": ["Y", "Y", "Y", "Y", "Er", "Er", "Er", "Zr"],
  "fractional_positions": [[0.100, 0.900, 0.000], [0.222, 0.778, 0.000], [0.778, 0.222, 0.000], [0.900, 0.100, 0.000], [0.346, 0.654, 0.500], [0.500, 0.500, 0.000], [0.654, 0.346, 0.500], [0.000, 0.000, 0.500]],
  "dft_energy_ha_per_atom": -0.213,
  "vol_a3_per_atom": 31.2,
  "magnetic_moment_mub_per_atom": 0.000,
  "formation_energy_ev_per_atom": 0.2084,
  "dos_ef_per_ev_cell": 13.47
}

***

{
  "formula": "Y6Er4Zr",
  "functional": "PBE",
  "state": "optimized geometry",
  "cell": [[8.777, 0.000, 0.000], [0.000, 8.777, 0.000], [0.000, 0.000, 8.815]],
  "species": ["Y", "Y", "Y", "Y", "Y", "Y", "Y", "Y", "Y", "Y", "Y", "Y", "Er", "Er", "Er", "Er", "Er", "Er", "Er", "Er", "Zr", "Zr"],
  "fractional_positions": [[0.000, 0.000, 0.176], [0.000, 0.000, 0.824], [0.151, 0.344, 0.500], [0.156, 0.349, 0.000], [0.344, 0.849, 0.500], [0.349, 0.844, 0.000], [0.500, 0.500, 0.324], [0.500, 0.500, 0.676], [0.651, 0.156, 0.000], [0.656, 0.151, 0.500], [0.844, 0.651, 0.000], [0.849, 0.656, 0.500], [0.145, 0.645, 0.250], [0.145, 0.645, 0.750], [0.355, 0.145, 0.250], [0.355, 0.145, 0.750], [0.645, 0.855, 0.250], [0.645, 0.855, 0.750], [0.855, 0.355, 0.250], [0.855, 0.355, 0.750], [0.000, 0.000, 0.500], [0.500, 0.500, 0.000]],
  "dft_energy_ha_per_atom": -0.214,
  "vol_a3_per_atom": 30.9,
  "magnetic_moment_mub_per_atom": 0.118,
  "formation_energy_ev_per_atom": 0.1496,
  "dos_ef_per_ev_cell": 33.37
}

***

{
  "formula": "Y12Er6Zr",
  "functional": "PBE",
  "state": "optimized geometry",
  "cell": [[7.693, 4.442, 2.881], [-7.693, 4.442, 2.881], [0.000, -8.884, 2.881]],
  "species": ["Y", "Y", "Y", "Y", "Y", "Y", "Y", "Y", "Y", "Y", "Y", "Y", "Er", "Er", "Er", "Er", "Er", "Er", "Zr"],
  "fractional_positions": [[0.057, 0.374, 0.583], [0.102, 0.741, 0.155], [0.155, 0.102, 0.741], [0.259, 0.845, 0.898], [0.374, 0.583, 0.057], [0.417, 0.943, 0.626], [0.583, 0.057, 0.374], [0.626, 0.417, 0.943], [0.741, 0.155, 0.102], [0.845, 0.898, 0.259], [0.898, 0.259, 0.845], [0.943, 0.626, 0.417], [0.209, 0.464, 0.311], [0.311, 0.209, 0.464], [0.464, 0.311, 0.209], [0.536, 0.689, 0.791], [0.689, 0.791, 0.536], [0.791, 0.536, 0.689], [0.000, 0.000, 0.000]],
  "dft_energy_ha_per_atom": -0.218,
  "vol_a3_per_atom": 31.1,
  "magnetic_moment_mub_per_atom": 0.000,
  "formation_energy_ev_per_atom": 0.0401,
  "dos_ef_per_ev_cell": 27.98
}

***

{
  "formula": "Y7Er12Zr",
  "functional": "PBE",
  "state": "optimized geometry",
  "cell": [[6.134, 3.541, 4.942], [-6.134, 3.541, 4.942], [0.000, -7.083, 4.942]],
  "species": ["Y", "Y", "Y", "Y", "Y", "Y", "Y", "Er", "Er", "Er", "Er", "Er", "Er", "Er", "Er", "Er", "Er", "Er", "Er", "Zr"],
  "fractional_positions": [[0.000, 0.000, 0.000], [0.168, 0.572, 0.475], [0.428, 0.525, 0.832], [0.475, 0.168, 0.572], [0.525, 0.832, 0.428], [0.572, 0.475, 0.168], [0.832, 0.428, 0.525], [0.048, 0.377, 0.143], [0.131, 0.272, 0.735], [0.143, 0.048, 0.377], [0.265, 0.869, 0.728], [0.272, 0.735, 0.131], [0.377, 0.143, 0.048], [0.623, 0.857, 0.952], [0.728, 0.265, 0.869], [0.735, 0.131, 0.272], [0.857, 0.952, 0.623], [0.869, 0.728, 0.265], [0.952, 0.623, 0.857], [0.500, 0.500, 0.500]],
  "dft_energy_ha_per_atom": -0.189,
  "vol_a3_per_atom": 32.2,
  "magnetic_moment_mub_per_atom": 0.082,
  "formation_energy_ev_per_atom": 0.2731,
  "dos_ef_per_ev_cell": 40.82
}

***

{
  "formula": "Y3Er12Zr",
  "functional": "PBE",
  "state": "optimized geometry",
  "cell": [[4.949, 0.000, 0.000], [0.000, 4.949, 0.000], [0.000, 0.000, 19.741]],
  "species": ["Y", "Y", "Y", "Er", "Er", "Er", "Er", "Er", "Er", "Er", "Er", "Er", "Er", "Er", "Er", "Zr"],
  "fractional_positions": [[0.000, 0.000, 0.000], [0.000, 0.000, 0.253], [0.000, 0.000, 0.747], [0.000, 0.500, 0.127], [0.000, 0.500, 0.383], [0.000, 0.500, 0.617], [0.000, 0.500, 0.873], [0.500, 0.000, 0.127], [0.500, 0.000, 0.383], [0.500, 0.000, 0.617], [0.500, 0.000, 0.873], [0.500, 0.500, 0.000], [0.500, 0.500, 0.253], [0.500, 0.500, 0.500], [0.500, 0.500, 0.747], [0.000, 0.000, 0.500]],
  "dft_energy_ha_per_atom": -0.189,
  "vol_a3_per_atom": 30.2,
  "magnetic_moment_mub_per_atom": 0.000,
  "formation_energy_ev_per_atom": 0.0377,
  "dos_ef_per_ev_cell": 21.23
}

***

{
  "formula": "Y14ErZr",
  "functional": "PBE",
  "state": "optimized geometry",
  "cell": [[7.094, 0.000, 0.000], [0.000, 7.094, 0.000], [0.000, 0.000, 9.973]],
  "species": ["Y", "Y", "Y", "Y", "Y", "Y", "Y", "Y", "Y", "Y", "Y", "Y", "Y", "Y", "Er", "Zr"],
  "fractional_positions": [[0.000, 0.000, 0.000], [0.000, 0.500, 0.000], [0.000, 0.500, 0.500], [0.245, 0.245, 0.257], [0.245, 0.245, 0.743], [0.245, 0.755, 0.257], [0.245, 0.755, 0.743], [0.500, 0.000, 0.000], [0.500, 0.000, 0.500], [0.500, 0.500, 0.000], [0.755, 0.245, 0.257], [0.755, 0.245, 0.743], [0.755, 0.755, 0.257], [0.755, 0.755, 0.743], [0.500, 0.500, 0.500], [0.000, 0.000, 0.500]],
  "dft_energy_ha_per_atom": -0.236,
  "vol_a3_per_atom": 31.4,
  "magnetic_moment_mub_per_atom": 0.000,
  "formation_energy_ev_per_atom": 0.0428,
  "dos_ef_per_ev_cell": 21.68
}

***

What did the fifth record say?
{
  "formula": "Y12Er6Zr",
  "functional": "PBE",
  "state": "optimized geometry",
  "cell": [[7.693, 4.442, 2.881], [-7.693, 4.442, 2.881], [0.000, -8.884, 2.881]],
  "species": ["Y", "Y", "Y", "Y", "Y", "Y", "Y", "Y", "Y", "Y", "Y", "Y", "Er", "Er", "Er", "Er", "Er", "Er", "Zr"],
  "fractional_positions": [[0.057, 0.374, 0.583], [0.102, 0.741, 0.155], [0.155, 0.102, 0.741], [0.259, 0.845, 0.898], [0.374, 0.583, 0.057], [0.417, 0.943, 0.626], [0.583, 0.057, 0.374], [0.626, 0.417, 0.943], [0.741, 0.155, 0.102], [0.845, 0.898, 0.259], [0.898, 0.259, 0.845], [0.943, 0.626, 0.417], [0.209, 0.464, 0.311], [0.311, 0.209, 0.464], [0.464, 0.311, 0.209], [0.536, 0.689, 0.791], [0.689, 0.791, 0.536], [0.791, 0.536, 0.689], [0.000, 0.000, 0.000]],
  "dft_energy_ha_per_atom": -0.218,
  "vol_a3_per_atom": 31.1,
  "magnetic_moment_mub_per_atom": 0.000,
  "formation_energy_ev_per_atom": 0.0401,
  "dos_ef_per_ev_cell": 27.98
}

***

Which formula does entry 1 have?
YErZr2